Record 1
{"formula": "SiPtPb2", "functional": "PBE", "state": "optimized geometry", "dos_at_fermi_per_ev_fu": 1.0, "e_tot_ev_per_atom": -4.47, "sg": "P2/m, No. 10", "magnetic_moment_mub_per_atom": 0.00, "cell": [[3.541, 0.000, 0.000], [0.000, 3.320, 0.012], [0.000, 3.326, 7.693]], "species": ["Pb", "Pt", "Si", "Pb"], "fractional_positions": [[0.000, 0.519, 0.481], [0.500, 0.250, 0.250], [0.500, 0.750, 0.750], [0.000, 0.981, 0.019]]}

Record 2
{"formula": "Ta3CdIn", "functional": "PBE", "state": "optimized geometry", "dos_at_fermi_per_ev_fu": 1.3, "formation_energy_mev_per_atom": 1935, "e_tot_ev_per_atom": -5.91, "sg": "Pm-3m, No. 221", "magnetic_moment_mub_per_atom": 0.00, "cell": [[4.966, 0.000, 0.000], [0.000, 4.966, 0.000], [0.000, 0.000, 4.966]], "species": ["Ta", "In", "Ta", "Cd", "Ta"], "fractional_positions": [[0.500, 0.000, 0.000], [0.500, 0.500, 0.500], [0.000, 0.000, 0.500], [0.000, 0.000, 0.000], [0.000, 0.500, 0.000]]}

Record 3
{"formula": "BeNiAs2Se", "functional": "PBE", "state": "optimized geometry", "dos_at_fermi_per_ev_fu": 4.4, "e_tot_ev_per_atom": -3.70, "sg": "P4/mmm, No. 123", "magnetic_moment_mub_per_atom": 0.00, "cell": [[4.480, 0.000, 0.000], [0.000, 4.480, 0.000], [0.000, 0.000, 4.985]], "species": ["As", "Se", "As", "Ni", "Be"], "fractional_positions": [[0.500, 0.000, 0.000], [0.000, 0.000, 0.500], [0.000, 0.500, 0.000], [0.000, 0.000, 0.000], [0.500, 0.500, 0.500]]}

Record 4
{"formula": "FeSn2Rh2", "functional": "PBE", "state": "optimized geometry", "dos_at_fermi_per_ev_fu": 3.6, "formation_energy_mev_per_atom": -110, "e_tot_ev_per_atom": -6.34, "sg": "P4/mbm, No. 127", "magnetic_moment_mub_per_atom": 0.68, "cell": [[-4.364, 5.607, -1.436], [1.031, -1.017, -7.103], [-2.626, -2.066, -0.085]], "species": ["Rh", "Sn", "Sn", "Sn", "Sn", "Rh", "Rh", "Rh", "Fe", "Fe"], "fractional_positions": [[0.358, 0.858, 0.000], [0.341, 0.159, 0.500], [0.659, 0.841, 0.500], [0.841, 0.341, 0.500], [0.159, 0.659, 0.500], [0.142, 0.358, 0.000], [0.858, 0.642, 0.000], [0.642, 0.142, 0.000], [0.000, 0.000, 0.000], [0.500, 0.500, 0.000]]}

Record 5
{"formula": "Pr8AlPd2", "functional": "PBE", "state": "optimized geometry", "dos_at_fermi_per_ev_fu": 16.1, "formation_energy_mev_per_atom": -228, "e_tot_ev_per_atom": -4.99, "sg": "Cm, No. 8", "magnetic_moment_mub_per_atom": 0.00, "cell": [[-3.612, -1.177, 3.939], [1.239, -7.775, -2.849], [6.192, 2.844, 4.866]], "species": ["Pr", "Pd", "Al", "Pr", "Pr", "Pr", "Pr", "Pr", "Pr", "Pd", "Pr"], "fractional_positions": [[0.181, 0.383, 0.383], [0.495, 0.682, 0.315], [0.001, 0.004, 0.004], [0.431, 0.688, 0.931], [0.000, 0.250, 0.766], [0.431, 0.931, 0.688], [0.818, 0.624, 0.624], [0.000, 0.766, 0.250], [0.574, 0.313, 0.076], [0.495, 0.315, 0.682], [0.574, 0.076, 0.313]]}

Record 6
{"formula": "LiYZnMo2", "functional": "PBE", "state": "optimized geometry", "dos_at_fermi_per_ev_fu": 4.5, "formation_energy_mev_per_atom": 1913, "e_tot_ev_per_atom": -4.35, "sg": "P4/mmm, No. 123", "magnetic_moment_mub_per_atom": 0.78, "cell": [[-4.140, 2.141, 1.812], [-2.749, -1.603, -4.386], [-1.197, -4.270, 2.311]], "species": ["Li", "Zn", "Mo", "Y", "Mo"], "fractional_positions": [[0.500, 0.500, 0.500], [0.000, 0.500, 0.000], [0.000, 0.000, 0.500], [0.000, 0.000, 0.000], [0.500, 0.000, 0.000]]}

Record 7
{"formula": "Pa4As6O19", "functional": "PBE", "state": "optimized geometry", "dos_at_fermi_per_ev_fu": 0.0, "e_tot_ev_per_atom": -7.75, "sg": "R3, No. 146", "magnetic_moment_mub_per_atom": 0.00, "cell": [[-8.382, -0.434, -1.254], [3.499, 0.964, -7.041], [2.908, -7.197, 3.430]], "species": ["O", "O", "As", "Pa", "O", "O", "O", "O", "As", "Pa", "O", "O", "Pa", "As", "O", "O", "O", "O", "O", "O", "As", "O", "O", "As", "As", "Pa", "O", "O", "O"], "fractional_positions": [[0.849, 0.848, 0.426], [0.574, 0.422, 0.422], [0.744, 0.626, 0.202], [0.012, 0.018, 0.732], [0.599, 0.197, 0.909], [0.963, 0.622, 0.213], [0.251, 0.660, 0.037], [0.251, 0.252, 0.014], [0.181, 0.646, 0.523], [0.000, 0.701, 0.000], [0.310, 0.599, 0.401], [0.787, 0.409, 0.749], [0.268, 0.285, 0.279], [0.342, 0.465, 0.819], [0.745, 0.739, 0.038], [0.373, 0.295, 0.624], [0.962, 0.701, 0.707], [0.763, 0.001, 0.749], [0.250, 0.921, 0.627], [0.293, 0.994, 0.255], [0.458, 0.881, 0.256], [0.000, 0.971, 0.000], [0.091, 0.288, 0.690], [0.477, 0.123, 0.658], [0.798, 0.423, 0.542], [0.721, 0.006, 0.988], [0.986, 0.238, 0.237], [0.376, 0.671, 0.750], [0.578, 0.999, 0.151]]}

Record 8
{"formula": "SrFe3Ir", "functional": "PBE", "state": "optimized geometry", "dos_at_fermi_per_ev_fu": 6.1, "formation_energy_mev_per_atom": 672, "e_tot_ev_per_atom": -6.51, "sg": "Pm-3m, No. 221", "magnetic_moment_mub_per_atom": 1.95, "cell": [[4.783, 0.000, 0.000], [0.000, 4.783, 0.000], [0.000, 0.000, 4.783]], "species": ["Ir", "Fe", "Fe", "Sr", "Fe"], "fractional_positions": [[0.000, 0.000, 0.000], [0.500, 0.000, 0.000], [0.000, 0.000, 0.500], [0.500, 0.500, 0.500], [0.000, 0.500, 0.000]]}